Record 1
A geometry-optimized CaW3O9 structure. Source: Alexandria via LeMat-Bulk, functional PBE+U.

Calculated values
E: -193.98 eV per cell
V: 172.3 Å³/f.u.

a = 5.444 Å, b = 7.587 Å, c = 8.352 Å
α = 90.00°, β = 92.79°, γ = 90.00°
Element x y z (fractional)
Ca (0.036, 0.250, 0.440)
Ca (0.964, 0.750, 0.560)
W (0.000, 0.000, 0.000)
W (0.000, 0.500, 0.000)
W (0.468, 0.002, 0.692)
W (0.468, 0.498, 0.692)
W (0.532, 0.502, 0.308)
W (0.532, 0.998, 0.308)
O (0.072, 0.250, 0.987)
O (0.169, 0.554, 0.784)
O (0.169, 0.946, 0.784)
O (0.273, 0.538, 0.473)
O (0.273, 0.962, 0.473)
O (0.317, 0.543, 0.135)
O (0.317, 0.957, 0.135)
O (0.371, 0.250, 0.669)
O (0.434, 0.250, 0.313)
O (0.566, 0.750, 0.687)
O (0.629, 0.750, 0.331)
O (0.683, 0.043, 0.865)
O (0.683, 0.457, 0.865)
O (0.727, 0.038, 0.527)
O (0.727, 0.462, 0.527)
O (0.831, 0.054, 0.216)
O (0.831, 0.446, 0.216)
O (0.928, 0.750, 0.013)

Record 2
A geometry-optimized CaW2O6 structure. Source: Alexandria via LeMat-Bulk, functional PBE+U.

Calculated values
excess energy over the best structure of this formula in the dataset: 0.024 eV per atom
E: -133.17 eV per cell
V: 119.9 Å³/f.u.

a = 5.494 Å, b = 5.602 Å, c = 7.793 Å
α = 90.11°, β = 90.01°, γ = 90.05°
Element x y z (fractional)
Ca (0.000, 0.000, 0.000)
Ca (0.497, 0.407, 0.502)
W (0.009, 0.455, 0.750)
W (0.010, 0.459, 0.251)
W (0.509, 0.949, 0.250)
W (0.512, 0.944, 0.750)
O (0.075, 0.434, 0.007)
O (0.217, 0.185, 0.287)
O (0.222, 0.178, 0.720)
O (0.299, 0.654, 0.295)
O (0.307, 0.656, 0.705)
O (0.430, 0.934, 0.995)
O (0.570, 0.973, 0.507)
O (0.731, 0.228, 0.788)
O (0.731, 0.241, 0.221)
O (0.812, 0.737, 0.794)
O (0.820, 0.739, 0.206)
O (0.922, 0.469, 0.496)

Question: Number 1 is which compound?
Answer: CaW3O9